Entry 1:
Density functional theory data (GGA-PBEsol) for a relaxed Li2TlPt crystal.

## Properties
ΔH_f (0 K) = -358 meV per atom
Density = 10.802 g/cm³

Lattice parameters (Å, degrees): 2.916 3.782 5.762 90.00 90.00 90.00
Sites, in units of the cell vectors:
Tl1 0.500 0.500 0.500
Pt1 0.500 0.500 0.000
Li1 0.000 0.000 0.789
Li2 0.000 0.000 0.211

Entry 2:
Density functional theory data (GGA-PBEsol) for a relaxed AlAg6 crystal.

## Properties
ΔH_f (0 K) = -38 meV per atom
Offset from the most stable computed form = 18 meV per atom
Density = 9.786 g/cm³

Lattice parameters (Å, degrees): 2.846 4.015 10.308 101.23 97.94 90.00
Sites, in units of the cell vectors:
Al1 0.500 0.500 0.000
Ag1 0.931 0.931 0.862
Ag2 0.358 0.358 0.717
Ag3 0.786 0.786 0.572
Ag4 0.214 0.214 0.428
Ag5 0.642 0.642 0.283
Ag6 0.069 0.069 0.138

Entry 3:
Density functional theory data (GGA-PBEsol) for a relaxed CaCr3Pd crystal.

## Properties
ΔH_f (0 K) = 2359 meV per atom
Density = 5.512 g/cm³

Lattice parameters (Å, degrees): 4.500 4.500 4.500 90.00 90.00 90.00
Each line ends with the local moment (μB).
Sites, in units of the cell vectors:
Cr1 0.000 0.500 0.000  3.23
Cr2 0.000 0.000 0.500  3.23
Cr3 0.500 0.000 0.000  3.23
Ca1 0.000 0.000 0.000  0.30
Pd1 0.500 0.500 0.500  0.13

Entry 4:
Density functional theory data (GGA-PBEsol) for a relaxed Cs2RbTl2 crystal.

## Properties
ΔH_f (0 K) = 17 meV per atom
Density = 4.704 g/cm³

Lattice parameters (Å, degrees): 6.279 9.245 9.245 90.00 90.00 90.00
Sites, in units of the cell vectors:
Cs1 0.500 0.176 0.676
Cs2 0.500 0.676 0.824
Cs3 0.500 0.824 0.324
Cs4 0.500 0.324 0.176
Tl1 0.000 0.389 0.889
Tl2 0.000 0.889 0.611
Tl3 0.000 0.611 0.111
Tl4 0.000 0.111 0.389
Rb1 0.000 0.000 0.000
Rb2 0.000 0.500 0.500

Entry 5:
Density functional theory data (GGA-PBEsol) for a relaxed NaHfMn2Te crystal.

## Properties
Uncorrected formation energy = 1.54 eV per atom
Density = 6.848 g/cm³

Lattice parameters (Å, degrees): 4.564 4.564 5.110 90.00 90.00 90.00
Each line ends with the local moment (μB).
Sites, in units of the cell vectors:
Na1 0.000 0.000 0.000  -0.02
Te1 0.500 0.500 0.500  0.01
Hf1 0.000 0.000 0.500  -0.49
Mn1 0.000 0.500 0.000  3.73
Mn2 0.500 0.000 0.000  3.73

Entry 6:
Density functional theory data (GGA-PBEsol) for a relaxed ErIn3 crystal.

## Properties
ΔH_f (0 K) = -443 meV per atom
Density = 9.132 g/cm³

Lattice parameters (Å, degrees): 4.532 4.532 4.532 90.00 90.00 90.00
Sites, in units of the cell vectors:
Er1 0.000 0.000 0.000
In1 0.500 0.000 0.500
In2 0.000 0.500 0.500
In3 0.500 0.500 0.000

Entry 7:
Density functional theory data (GGA-PBEsol) for a relaxed Mg2ScTa crystal.

## Properties
ΔH_f (0 K) = 255 meV per atom
Offset from the most stable computed form = 0 meV per atom
Density = 5.601 g/cm³

Lattice parameters (Å, degrees): 2.992 2.992 10.641 81.92 81.92 60.00
Sites, in units of the cell vectors:
Mg1 0.253 0.253 0.240
Mg2 0.747 0.747 0.760
Sc1 0.500 0.500 0.500
Ta1 0.000 0.000 0.000

Entry 8:
Density functional theory data (GGA-PBEsol) for a relaxed SrGa3Br crystal.

## Properties
Uncorrected formation energy = 0.80 eV per atom
Density = 3.042 g/cm³

Lattice parameters (Å, degrees): 5.903 5.903 5.903 90.00 90.00 90.00
Each line ends with the local moment (μB).
Sites, in units of the cell vectors:
Sr1 0.000 0.000 0.000  0.13
Ga1 0.000 0.500 0.000  0.08
Ga2 0.000 0.000 0.500  0.08
Ga3 0.500 0.000 0.000  0.08
Br1 0.500 0.500 0.500  0.05

Entry 9:
Density functional theory data (GGA-PBEsol) for a relaxed FeTcPdN2 crystal.

## Properties
Uncorrected formation energy = 0.97 eV per atom
Density = 6.894 g/cm³

Lattice parameters (Å, degrees): 3.743 3.743 4.958 90.00 90.00 90.00
Each line ends with the local moment (μB).
Sites, in units of the cell vectors:
N1 0.000 0.500 0.000  0.05
N2 0.500 0.000 0.000  0.05
Tc1 0.000 0.000 0.000  -0.02
Pd1 0.500 0.500 0.500  0.31
Fe1 0.000 0.000 0.500  3.08

Entry 10:
Density functional theory data (GGA-PBEsol) for a relaxed AlFeIr2 crystal.

## Properties
ΔH_f (0 K) = 863 meV per atom
Density = 10.157 g/cm³

Lattice parameters (Å, degrees): 5.317 5.317 6.584 113.81 113.81 90.00
Sites, in units of the cell vectors:
Ir1 0.910 0.375 0.250
Ir2 0.340 0.875 0.250
Ir3 0.625 0.660 0.750
Ir4 0.125 0.090 0.750
Fe1 0.250 0.750 0.500
Fe2 0.000 0.000 0.000
Al1 0.750 0.250 0.500
Al2 0.500 0.500 0.000

Entry 11:
Density functional theory data (GGA-PBEsol) for a relaxed Sb2AsPd2 crystal.

## Properties
Uncorrected formation energy = -0.05 eV per atom
Offset from the most stable computed form = 98 meV per atom
Density = 8.951 g/cm³

Lattice parameters (Å, degrees): 3.052 8.036 8.036 90.00 90.00 90.00
Sites, in units of the cell vectors:
Sb1 0.000 0.327 0.827
Sb2 0.000 0.827 0.673
Sb3 0.000 0.673 0.173
Sb4 0.000 0.173 0.327
As1 0.000 0.000 0.000
As2 0.000 0.500 0.500
Pd1 0.500 0.120 0.620
Pd2 0.500 0.620 0.880
Pd3 0.500 0.880 0.380
Pd4 0.500 0.380 0.120

Entry 12:
Density functional theory data (GGA-PBEsol) for a relaxed Mo2OsPt crystal.

## Properties
ΔH_f (0 K) = -170 meV per atom
Offset from the most stable computed form = 12 meV per atom
Density = 16.239 g/cm³

Lattice parameters (Å, degrees): 2.738 3.921 5.498 90.00 90.00 90.00
Sites, in units of the cell vectors:
Mo1 0.000 0.000 0.764
Mo2 0.000 0.000 0.236
Os1 0.500 0.500 0.000
Pt1 0.500 0.500 0.500

Copy entry 8 word for word.
Density functional theory data (GGA-PBEsol) for a relaxed SrGa3Br crystal.

## Properties
Uncorrected formation energy = 0.80 eV per atom
Density = 3.042 g/cm³

Lattice parameters (Å, degrees): 5.903 5.903 5.903 90.00 90.00 90.00
Each line ends with the local moment (μB).
Sites, in units of the cell vectors:
Sr1 0.000 0.000 0.000  0.13
Ga1 0.000 0.500 0.000  0.08
Ga2 0.000 0.000 0.500  0.08
Ga3 0.500 0.000 0.000  0.08
Br1 0.500 0.500 0.500  0.05